Crystalline Y2AsPb at its relaxed geometry, computed with PBE.

Unit cell a=11.521 b=4.167 c=4.440 alpha=90.00 beta=93.14 gamma=90.00
Space group Cm (No. 8)
Symmetry-distinct sites (fractional):
Y1 0.000 0.000 0.000 x2
Y2 0.239 0.500 0.501 x2
As1 0.256 0.000 0.008 x2
Pb1 0.470 0.000 0.497 x2

ΔH_f (0 K) ... -0.808 eV per atom
Crystal system ... monoclinic
Calculated total energy ... -6.13 eV per atom
Relative energy among the computed polymorphs ... 208 meV/atom

---

Crystalline ThUSb2 at its relaxed geometry, computed with PBE.

Unit cell a=4.3910 b=4.3910 c=22.3297 alpha=90.00 beta=90.00 gamma=120.00
Space group R-3m (No. 166, hexagonal axes)
Symmetry-distinct sites (fractional):
Th1 0.0000 0.0000 0.0000 x3
U1 0.0000 0.0000 0.5000 x3
Sb1 0.0000 0.0000 0.2473 x6

Formation energy without anion corrections ... -208.5 kJ/mol of formula units
Crystal system ... trigonal
Calculated total energy ... -7.28 eV per atom
Relative energy among the computed polymorphs ... 0 meV/atom

---

Crystalline TaV2RuN at its relaxed geometry, computed with PBE.

Unit cell a=3.908 b=3.908 c=4.271 alpha=90.00 beta=90.00 gamma=90.00
Space group P4/mmm (No. 123)
Symmetry-distinct sites (fractional):
Ta1 0.000 0.000 0.000 x1
V1 0.000 0.500 0.500 x2
Ru1 0.500 0.500 0.000 x1
N1 0.000 0.000 0.500 x1

Formation energy without anion corrections ... -266.0 kJ/mol of formula units
Crystal system ... tetragonal
Calculated total energy ... -10.09 eV per atom

---

Crystalline Ag6Hg4F19 at its relaxed geometry, computed with PBE.

Unit cell a=9.718 b=9.718 c=9.718 alpha=90.00 beta=90.00 gamma=90.00
Space group I23 (No. 197)
Symmetry-distinct sites (fractional):
Ag1 0.000 0.169 0.500 x12
Hg1 0.140 0.140 0.140 x8
F1 0.000 0.000 0.000 x2
F2 0.000 0.000 0.297 x12
F3 0.070 0.294 0.314 x24

Formation energy without anion corrections ... -3286.6 kJ/mol of formula units
Crystal system ... cubic
Calculated total energy ... -3.03 eV per atom

---

Crystalline Cs2SbRh2 at its relaxed geometry, computed with PBE.

Unit cell a=3.576 b=3.576 c=24.698 alpha=90.00 beta=90.00 gamma=90.00
Space group I4/mmm (No. 139)
Symmetry-distinct sites (fractional):
Cs1 0.000 0.000 0.120 x4
Sb1 0.000 0.000 0.500 x2
Rh1 0.000 0.500 0.250 x4

Formation energy without anion corrections ... 161.4 kJ/mol of formula units
Crystal system ... tetragonal
Calculated total energy ... -3.77 eV per atom
Relative energy among the computed polymorphs ... 193 meV/atom

---

Crystalline YBeIr at its relaxed geometry, computed with PBE.

Unit cell a=6.787 b=4.093 c=7.340 alpha=90.00 beta=90.00 gamma=90.00
Space group Pnma (No. 62)
Symmetry-distinct sites (fractional):
Y1 0.001 0.250 0.192 x4
Be1 0.178 0.250 0.589 x4
Ir1 0.180 0.750 0.429 x4

ΔH_f (0 K) ... -0.640 eV per atom
Crystal system ... orthorhombic
Calculated total energy ... -6.99 eV per atom
Relative energy among the computed polymorphs ... 25 meV/atom

---

Crystalline TaCu2 at its relaxed geometry, computed with PBE.

Unit cell a=3.356 b=3.356 c=16.080 alpha=90.00 beta=90.00 gamma=90.00
Space group I4_1/amd (No. 141, origin choice 2)
Symmetry-distinct sites (fractional):
Ta1 0.000 0.250 0.375 x4
Cu1 0.000 0.250 0.799 x8

ΔH_f (0 K) ... 0.495 eV per atom
Crystal system ... tetragonal
Calculated total energy ... -6.19 eV per atom

---

Crystalline CrRh2Au at its relaxed geometry, computed with PBE.

Unit cell a=2.7452 b=2.7452 c=26.9456 alpha=90.00 beta=90.00 gamma=120.00
Space group R3m (No. 160, hexagonal axes)
Symmetry-distinct sites (fractional):
Cr1 0.0000 0.0000 0.0000 x3
Rh1 0.0000 0.0000 0.4912 x3
Rh2 0.0000 0.0000 0.7391 x3
Au1 0.0000 0.0000 0.2476 x3

ΔH_f (0 K) ... 0.186 eV per atom
Crystal system ... trigonal
Calculated total energy ... -6.71 eV per atom